# Li2CaTc

A crystal of Li2CaTc relaxed with PBEsol (SCAN, Alexandria).

Lattice parameters (Å, degrees): 5.002 5.002 5.509 98.56 98.56 31.41
Fractional coordinates of all 4 atoms:
Li (0.000, 0.000, 0.000)
Li (0.744, 0.744, 0.237)
Ca (0.236, 0.236, 0.698)
Tc (0.484, 0.484, 0.452)

Results
For the total magnetic moment, the calculation gives 0.000 μB/atom. Its uncorrected energy is -47.4 eV for the cell shown. The value obtained for the energy relative to the elements is 0.5379 eV per atom. The energy above the most stable polymorph in this dataset is 0.000 eV per atom. The crystal system is monoclinic.